The following is a DFT calculation (PBE-GGA) of crystalline DyTm3Tl4Se8 at its relaxed geometry.

Energy relative to the elements, uncorrected   -1.378 eV per atom

Unit cell a=8.2964 b=8.2964 c=23.3391 alpha=90.00 beta=90.00 gamma=120.00
Space group R-3m (No. 166, hexagonal axes)
Asymmetric unit:
Dy1 0.0000 0.0000 0.0000 [3 per cell]
Tm1 0.0000 0.5000 0.0000 [9 per cell]
Tl1 0.0000 0.0000 0.5000 [3 per cell]
Tl2 0.0000 0.5000 0.5000 [9 per cell]
Se1 0.0000 0.0000 0.2663 [6 per cell]
Se2 0.0028 0.5014 0.2659 [18 per cell]